# YZrGaIr, relaxed, DFT GGA-PBE
data_YZrGaIr
_chemical_formula_sum 'Y1 Zr1 Ga1 Ir1'
_cell_length_a 4.647
_cell_length_b 4.636
_cell_length_c 5.268
_cell_angle_alpha 116.03
_cell_angle_beta 89.90
_cell_angle_gamma 120.20
_symmetry_space_group_name_H-M 'P 1'
_symmetry_Int_Tables_number 1
_symmetry_space_group_name_Hall 'P 1'
loop_
_atom_site_label
_atom_site_fract_x
_atom_site_fract_y
_atom_site_fract_z
Y1 0.041 0.487 0.761
Zr1 0.532 0.471 0.233
Ga1 0.265 0.935 0.433
Ir1 0.823 0.054 0.107
# **Energy of formation from the pure elements**: -0.62 eV per atom
# **Total magnetic moment**: 0.00 μB per atom
# **V**: 21.14 Å³ per atom

# YZrGaIr, relaxed, DFT GGA-PBE
data_YZrGaIr
_chemical_formula_sum 'Y1 Zr1 Ga1 Ir1'
_cell_length_a 3.401
_cell_length_b 4.733
_cell_length_c 4.962
_cell_angle_alpha 90.00
_cell_angle_beta 90.00
_cell_angle_gamma 90.00
_symmetry_space_group_name_H-M 'P 1'
_symmetry_Int_Tables_number 1
_symmetry_space_group_name_Hall 'P 1'
loop_
_atom_site_label
_atom_site_fract_x
_atom_site_fract_y
_atom_site_fract_z
Y1 0.000 0.000 0.225
Zr1 0.000 0.500 0.664
Ga1 0.500 0.500 0.125
Ir1 0.500 0.000 0.750
# **Energy of formation from the pure elements**: -0.60 eV per atom
# **Total magnetic moment**: 0.00 μB per atom
# **V**: 19.97 Å³ per atom

# YZrGaIr, relaxed, DFT GGA-PBE
data_YZrGaIr
_chemical_formula_sum 'Y2 Zr2 Ga2 Ir2'
_cell_length_a 4.250
_cell_length_b 3.613
_cell_length_c 10.828
_cell_angle_alpha 90.00
_cell_angle_beta 90.00
_cell_angle_gamma 90.00
_symmetry_space_group_name_H-M 'P 1'
_symmetry_Int_Tables_number 1
_symmetry_space_group_name_Hall 'P 1'
loop_
_atom_site_label
_atom_site_fract_x
_atom_site_fract_y
_atom_site_fract_z
Y1 0.500 0.000 0.669
Y2 0.500 0.500 0.169
Zr1 0.000 0.000 0.382
Zr2 0.000 0.500 0.882
Ga1 0.000 0.000 0.090
Ga2 0.000 0.500 0.590
Ir1 0.500 0.000 0.934
Ir2 0.500 0.500 0.434
# **Energy of formation from the pure elements**: -0.71 eV per atom
# **Total magnetic moment**: 0.00 μB per atom
# **V**: 20.78 Å³ per atom

# YZrGaIr, relaxed, DFT GGA-PBE
data_YZrGaIr
_chemical_formula_sum 'Y1 Zr1 Ga1 Ir1'
_cell_length_a 4.156
_cell_length_b 4.156
_cell_length_c 6.194
_cell_angle_alpha 90.00
_cell_angle_beta 90.00
_cell_angle_gamma 120.00
_symmetry_space_group_name_H-M 'P 1'
_symmetry_Int_Tables_number 1
_symmetry_space_group_name_Hall 'P 1'
loop_
_atom_site_label
_atom_site_fract_x
_atom_site_fract_y
_atom_site_fract_z
Y1 0.333 0.667 0.125
Zr1 0.667 0.333 0.566
Ga1 0.000 0.000 0.827
Ir1 0.000 0.000 0.380
# **Energy of formation from the pure elements**: -0.51 eV per atom
# **Total magnetic moment**: 0.00 μB per atom
# **V**: 23.16 Å³ per atom